No. 1
# BaSrSbI | Alexandria via LeMat-Bulk | PBE | relaxed
data_BaSrSbI
_chemical_formula_sum 'Ba3 Sr3 Sb3 I3'
_space_group_name_H-M_alt 'R 3 m'
_space_group_IT_number 160
_space_group_name_Hall 'R 3 -2"'
_cell_length_a 4.9028
_cell_length_b 4.9028
_cell_length_c 25.5230
_cell_angle_alpha 90.00
_cell_angle_beta 90.00
_cell_angle_gamma 120.00
loop_
_atom_site_label
_atom_site_fract_x
_atom_site_fract_y
_atom_site_fract_z
_atom_site_occupancy
Ba1 0.0000 0.0000 0.0000 1
Sr1 0.0000 0.0000 0.1937 1
Sb1 0.0000 0.0000 0.5925 1
I1 0.0000 0.0000 0.7705 1
# **Calculated density**: 4.4 g cm⁻³
# **Final energy**: -3.6507 eV/atom

No. 2
# Sr3CaRh | Alexandria via LeMat-Bulk | PBE | relaxed
data_Sr3CaRh
_chemical_formula_sum 'Sr12 Ca4 Rh4'
_space_group_name_H-M_alt 'C 1 c 1'
_space_group_IT_number 9
_cell_length_a 8.4276
_cell_length_b 14.3681
_cell_length_c 8.0498
_cell_angle_alpha 90.00
_cell_angle_beta 121.43
_cell_angle_gamma 90.00
loop_
_space_group_symop_operation_xyz
'x,y,z'
'x,-y,z+1/2'
'x+1/2,y+1/2,z'
'x+1/2,-y+1/2,z+1/2'
loop_
_atom_site_label
_atom_site_fract_x
_atom_site_fract_y
_atom_site_fract_z
_atom_site_occupancy
Sr1 0.0000 0.0413 0.0000 1
Sr2 0.2411 0.2961 0.0045 1
Sr3 0.2632 0.2127 0.5184 1
Ca1 0.0126 0.4642 0.4970 1
Rh1 0.1306 0.3814 0.2564 1
# **Energy above the most stable polymorph in this dataset**: 8 meV/atom
# **Calculated density**: 3.2 g cm⁻³
# **Final energy**: -3.0714 eV/atom

No. 3
# Li2MgGe | Alexandria via LeMat-Bulk | PBE | relaxed
data_Li2MgGe
_chemical_formula_sum 'Li2 Mg1 Ge1'
_space_group_name_H-M_alt 'P 4/m m m'
_space_group_IT_number 123
_space_group_name_Hall '-P 4 2'
_cell_length_a 4.0264
_cell_length_b 4.0264
_cell_length_c 4.2745
_cell_angle_alpha 90.00
_cell_angle_beta 90.00
_cell_angle_gamma 90.00
loop_
_atom_site_label
_atom_site_fract_x
_atom_site_fract_y
_atom_site_fract_z
_atom_site_occupancy
Li1 0.0000 0.5000 0.0000 1
Mg1 0.0000 0.0000 0.5000 1
Ge1 0.5000 0.5000 0.5000 1
# **Calculated density**: 2.7 g cm⁻³
# **Final energy**: -2.7394 eV/atom

No. 4
# Ca2TlW | Alexandria via LeMat-Bulk | PBE | relaxed
data_Ca2TlW
_chemical_formula_sum 'Ca2 Tl1 W1'
_space_group_name_H-M_alt 'P 1 m 1'
_space_group_IT_number 6
_cell_length_a 3.0769
_cell_length_b 5.2713
_cell_length_c 6.0098
_cell_angle_alpha 90.00
_cell_angle_beta 90.13
_cell_angle_gamma 90.00
loop_
_space_group_symop_operation_xyz
'x,y,z'
'x,-y,z'
loop_
_atom_site_label
_atom_site_fract_x
_atom_site_fract_y
_atom_site_fract_z
_atom_site_occupancy
Ca1 0.0000 0.0000 0.0000 1
Ca2 0.0028 0.5000 0.6685 1
Tl1 0.5013 0.5000 0.2047 1
W1 0.5020 0.0000 0.4847 1
# **Energy above the most stable polymorph in this dataset**: 113 meV/atom
# **Calculated density**: 8.0 g cm⁻³
# **Final energy**: -4.2275 eV/atom

No. 5
# Sc7Os | Alexandria via LeMat-Bulk | PBE | relaxed
data_Sc7Os
_chemical_formula_sum 'Sc28 Os4'
_space_group_name_H-M_alt 'F m -3 m'
_space_group_IT_number 225
_space_group_name_Hall '-F 4 2 3'
_cell_length_a 8.8162
_cell_length_b 8.8162
_cell_length_c 8.8162
_cell_angle_alpha 90.00
_cell_angle_beta 90.00
_cell_angle_gamma 90.00
loop_
_atom_site_label
_atom_site_fract_x
_atom_site_fract_y
_atom_site_fract_z
_atom_site_occupancy
Sc1 0.0000 0.0000 0.0000 1
Sc2 0.0000 0.2500 0.2500 1
Os1 0.0000 0.0000 0.5000 1
# **Calculated density**: 4.9 g cm⁻³
# **Final energy**: -6.9037 eV/atom

No. 6
# Ce2SmUAs4 | Alexandria via LeMat-Bulk | PBE | relaxed
data_Ce2SmUAs4
_chemical_formula_sum 'Ce2 Sm1 U1 As4'
_space_group_name_H-M_alt 'P 1 2/m 1'
_space_group_IT_number 10
_cell_length_a 7.2324
_cell_length_b 4.1688
_cell_length_c 7.2724
_cell_angle_alpha 90.00
_cell_angle_beta 109.27
_cell_angle_gamma 90.00
loop_
_space_group_symop_operation_xyz
'x,y,z'
'-x,-y,-z'
'-x,y,-z'
'x,-y,z'
loop_
_atom_site_label
_atom_site_fract_x
_atom_site_fract_y
_atom_site_fract_z
_atom_site_occupancy
Ce1 0.0000 0.0000 0.0000 1
Ce2 0.0000 0.5000 0.5000 1
Sm1 0.5000 0.0000 0.5000 1
U1 0.5000 0.5000 0.0000 1
As1 0.2529 0.5000 0.2452 1
As2 0.2566 0.0000 0.7566 1
# **Calculated density**: 7.8 g cm⁻³
# **Final energy**: -7.0805 eV/atom

Q: calculated density of number 4 (Ca2TlW)?
A: 8.0 g cm⁻³

Copy entry 1 word for word.
# BaSrSbI | Alexandria via LeMat-Bulk | PBE | relaxed
data_BaSrSbI
_chemical_formula_sum 'Ba3 Sr3 Sb3 I3'
_space_group_name_H-M_alt 'R 3 m'
_space_group_IT_number 160
_space_group_name_Hall 'R 3 -2"'
_cell_length_a 4.9028
_cell_length_b 4.9028
_cell_length_c 25.5230
_cell_angle_alpha 90.00
_cell_angle_beta 90.00
_cell_angle_gamma 120.00
loop_
_atom_site_label
_atom_site_fract_x
_atom_site_fract_y
_atom_site_fract_z
_atom_site_occupancy
Ba1 0.0000 0.0000 0.0000 1
Sr1 0.0000 0.0000 0.1937 1
Sb1 0.0000 0.0000 0.5925 1
I1 0.0000 0.0000 0.7705 1
# **Calculated density**: 4.4 g cm⁻³
# **Final energy**: -3.6507 eV/atom

Q: Among the records above, which one has the lowest calculated density?
A: Li2MgGe

Q: What is the final energy in the sixth record?
A: -7.0805 eV/atom